# 1
The following is a PBE calculation of a geometry-optimized Al2MoOs structure, from Alexandria.

Cell lengths 3.0889, 3.0889, 6.0929 Å; angles 90.00, 90.00, 90.00 degrees
Sites, in units of the cell vectors:
Mo (0.0000, 0.0000, 0.4936)
Al (0.0000, 0.0000, 0.9912)
Os (0.5000, 0.5000, 0.7679)
Al (0.5000, 0.5000, 0.2473)

Values from the calculation:
Energy above the lowest structure with this stoichiometry ... 0 meV/atom
Symmetry ... P4mm (99)
Mass density ... 9.716 g/cm³
Uncorrected energy ... -0.56670 Ry/atom

=====

# 2
The following is a PBE calculation of a geometry-optimized Ba4CoAg structure, from Alexandria.

Cell lengths 7.1329, 7.1329, 7.1329 Å; angles 60.00, 60.00, 60.00 degrees
Sites, in units of the cell vectors:
Ba (0.3753, 0.8740, 0.3753)
Ba (0.8740, 0.3753, 0.3753)
Ba (0.3753, 0.3753, 0.8740)
Ba (0.3753, 0.3753, 0.3753)
Ag (0.0000, 0.0000, 0.0000)
Co (0.7500, 0.7500, 0.7500)

Values from the calculation:
Symmetry ... F-43m (216)
Mass density ... 4.634 g/cm³
Uncorrected energy ... -0.14799 Ry/atom

=====

# 3
The following is a PBE calculation of a geometry-optimized Co4AgS8 structure, from Alexandria.

Cell lengths 6.5255, 6.5255, 7.4633 Å; angles 64.08, 64.08, 60.00 degrees
Sites, in units of the cell vectors:
S (0.7675, 0.7675, 0.1906)
S (0.2694, 0.2694, 0.1919)
S (0.7306, 0.7306, 0.8081)
Ag (0.5000, 0.5000, 0.5000)
S (0.2325, 0.7256, 0.8094)
Co (0.5000, 0.5000, 0.0000)
Co (0.0000, 0.5000, 0.0000)
S (0.2325, 0.2325, 0.8094)
S (0.7675, 0.2744, 0.1906)
S (0.7256, 0.2325, 0.8094)
Co (0.5000, 0.0000, 0.0000)
Co (0.0000, 0.0000, 0.0000)
S (0.2744, 0.7675, 0.1906)

Values from the calculation:
Symmetry ... R-3m (166)
Mass density ... 4.194 g/cm³
Uncorrected energy ... -0.38105 Ry/atom
Formation energy (no corrections) ... -0.2387 eV/atom

=====

# 4
The following is a PBE calculation of a geometry-optimized SiPb3O4 structure, from Alexandria.

Cell lengths 5.5384, 7.3763, 7.2285 Å; angles 90.00, 90.00, 90.00 degrees
Sites, in units of the cell vectors:
O (0.2073, 0.8024, 0.5000)
O (0.1436, 0.2043, 0.1835)
Si (0.9994, 0.1293, 0.0000)
O (0.6436, 0.7957, 0.6835)
Pb (0.0297, 0.1187, 0.5000)
O (0.6436, 0.7957, 0.3165)
Pb (0.0083, 0.6209, 0.7497)
Si (0.4994, 0.8707, 0.5000)
Pb (0.5083, 0.3791, 0.7503)
Pb (0.5083, 0.3791, 0.2497)
O (0.9752, 0.9046, 0.0000)
O (0.7073, 0.1976, 0.0000)
Pb (0.5297, 0.8813, 0.0000)
O (0.1436, 0.2043, 0.8165)
O (0.4752, 0.0954, 0.5000)
Pb (0.0083, 0.6209, 0.2503)

Values from the calculation:
Symmetry ... Pmn2_1 (31)
Mass density ... 8.026 g/cm³
Uncorrected energy ... -0.44148 Ry/atom
Formation energy (no corrections) ... -1.4591 eV/atom

=====

# 5
The following is a PBE calculation of a geometry-optimized Tb2Ho5Al4 structure, from Alexandria.

Cell lengths 3.5987, 12.6176, 9.7913 Å; angles 130.12, 100.59, 90.00 degrees
Sites, in units of the cell vectors:
Ho (0.8436, 0.1590, 0.6872)
Ho (0.5000, 0.0000, 0.0000)
Al (0.4091, 0.4091, 0.8182)
Al (0.5909, 0.5909, 0.1818)
Ho (0.1564, 0.4717, 0.3128)
Ho (0.1564, 0.8410, 0.3128)
Tb (0.7957, 0.7957, 0.5914)
Ho (0.8436, 0.5283, 0.6872)
Al (0.0000, 0.1741, 0.0000)
Tb (0.2043, 0.2043, 0.4086)
Al (0.0000, 0.8259, 0.0000)

Values from the calculation:
Symmetry ... Immm (71)
Mass density ... 6.291 g/cm³
Uncorrected energy ... -0.29986 Ry/atom

=====

# 6
The following is a PBE calculation of a geometry-optimized Sm3ScAl structure, from Alexandria.

Cell lengths 4.7283, 6.7571, 9.6332 Å; angles 90.00, 90.00, 90.00 degrees
Sites, in units of the cell vectors:
Sc (0.7500, 0.7500, 0.4329)
Sc (0.2500, 0.2500, 0.5671)
Sm (0.2500, 0.0079, 0.2617)
Al (0.7500, 0.2500, 0.1299)
Sm (0.2500, 0.2500, 0.9314)
Al (0.2500, 0.7500, 0.8701)
Sm (0.2500, 0.4921, 0.2617)
Sm (0.7500, 0.5079, 0.7383)
Sm (0.7500, 0.7500, 0.0686)
Sm (0.7500, 0.9921, 0.7383)

Values from the calculation:
Symmetry ... Pmmn (59)
Mass density ... 5.644 g/cm³
Uncorrected energy ... -0.34471 Ry/atom

=====

# 7
The following is a PBE calculation of a geometry-optimized Th5TlBi3 structure, from Alexandria.

Cell lengths 6.6306, 9.8057, 9.8055 Å; angles 120.00, 90.00, 90.00 degrees
Sites, in units of the cell vectors:
Bi (0.7500, 0.6201, 0.0000)
Th (0.0000, 0.3333, 0.6667)
Th (0.7500, 0.0000, 0.2809)
Th (0.2500, 0.2809, 0.2809)
Th (0.2500, 0.7191, 0.0000)
Th (0.2500, 0.0000, 0.7191)
Bi (0.7500, 0.3799, 0.3799)
Tl (0.0000, 0.0000, 0.0000)
Bi (0.2500, 0.0000, 0.3799)
Th (0.5000, 0.6667, 0.3333)
Th (0.0000, 0.6667, 0.3333)
Bi (0.2500, 0.6201, 0.6201)
Th (0.7500, 0.2809, 0.0000)
Th (0.7500, 0.7191, 0.7191)
Bi (0.7500, 0.0000, 0.6201)
Th (0.5000, 0.3333, 0.6667)
Bi (0.2500, 0.3799, 0.0000)
Tl (0.5000, 0.0000, 0.0000)

Values from the calculation:
Symmetry ... P6_3/mcm (193)
Mass density ... 11.979 g/cm³
Uncorrected energy ... -0.45333 Ry/atom

=====

# 8
The following is a PBE calculation of a geometry-optimized Pu5Rh3 structure, from Alexandria.

Cell lengths 5.0916, 5.8385, 5.8385 Å; angles 107.42, 90.00, 90.00 degrees
Sites, in units of the cell vectors:
Rh (0.5000, 0.7751, 0.2249)
Pu (0.5000, 0.7225, 0.7225)
Rh (0.5000, 0.2249, 0.7751)
Pu (0.0000, 0.5000, 0.0000)
Pu (0.5000, 0.2775, 0.2775)
Rh (0.0000, 0.5000, 0.5000)
Pu (0.0000, 0.0000, 0.0000)
Pu (0.0000, 0.0000, 0.5000)

Values from the calculation:
Energy above the lowest structure with this stoichiometry ... 22 meV/atom
Symmetry ... Cmmm (65)
Mass density ... 15.328 g/cm³
Uncorrected energy ... -0.88049 Ry/atom

=====

# 9
The following is a PBE calculation of a geometry-optimized Dy2LuTc structure, from Alexandria.

Cell lengths 3.4651, 3.4651, 8.6204 Å; angles 90.00, 90.00, 90.00 degrees
Sites, in units of the cell vectors:
Tc (0.5000, 0.5000, 0.0000)
Lu (0.5000, 0.5000, 0.5000)
Dy (0.0000, 0.0000, 0.8102)
Dy (0.0000, 0.0000, 0.1898)

Values from the calculation:
Energy above the lowest structure with this stoichiometry ... 0 meV/atom
Symmetry ... P4/mmm (123)
Mass density ... 9.593 g/cm³
Uncorrected energy ... -0.44020 Ry/atom

=====

# 10
The following is a PBE calculation of a geometry-optimized MnTe2PdI structure, from Alexandria.

Cell lengths 4.8572, 4.8572, 5.7195 Å; angles 90.00, 90.00, 90.00 degrees
Sites, in units of the cell vectors:
Pd (0.5000, 0.5000, 0.5000)
Te (0.0000, 0.5000, 0.0000)
Mn (0.0000, 0.0000, 0.0000)
I (0.0000, 0.0000, 0.5000)
Te (0.5000, 0.0000, 0.0000)

Values from the calculation:
Energy above the lowest structure with this stoichiometry ... 167 meV/atom
Symmetry ... P4/mmm (123)
Mass density ... 6.688 g/cm³
Uncorrected energy ... -0.27839 Ry/atom
Formation energy (no corrections) ... 0.6515 eV/atom

=====

# 11
The following is a PBE calculation of a geometry-optimized Na2TlCd2Bi2 structure, from Alexandria.

Cell lengths 5.3858, 5.3858, 9.0545 Å; angles 72.70, 72.70, 60.00 degrees
Sites, in units of the cell vectors:
Tl (0.0000, 0.0000, 0.0000)
Cd (0.3916, 0.3916, 0.8251)
Cd (0.6084, 0.6084, 0.1749)
Bi (0.2607, 0.2607, 0.2180)
Na (0.8696, 0.8696, 0.3912)
Bi (0.7393, 0.7393, 0.7820)
Na (0.1304, 0.1304, 0.6088)

Values from the calculation:
Symmetry ... R-3m (166)
Mass density ... 6.943 g/cm³
Uncorrected energy ... -0.16503 Ry/atom

=====

# 12
The following is a PBE calculation of a geometry-optimized KBe3Pb structure, from Alexandria.

Cell lengths 5.1839, 5.1839, 5.1839 Å; angles 90.00, 90.00, 90.00 degrees
Sites, in units of the cell vectors:
K (0.0000, 0.0000, 0.0000)
Be (0.0000, 0.0000, 0.5000)
Be (0.5000, 0.0000, 0.0000)
Be (0.0000, 0.5000, 0.0000)
Pb (0.5000, 0.5000, 0.5000)

Values from the calculation:
Energy above the lowest structure with this stoichiometry ... 870 meV/atom
Symmetry ... Pm-3m (221)
Mass density ... 3.258 g/cm³
Uncorrected energy ... -0.08189 Ry/atom

=====

# 13
The following is a PBE calculation of a geometry-optimized Tl4Hg12Au structure, from Alexandria.

Cell lengths 8.5322, 8.5322, 8.5322 Å; angles 109.47, 109.47, 109.47 degrees
Sites, in units of the cell vectors:
Tl (0.0000, 0.0000, 0.5000)
Hg (0.2500, 0.7500, 0.5000)
Hg (0.0000, 0.7112, 0.7112)
Tl (0.5000, 0.5000, 0.5000)
Hg (0.2888, 0.0000, 0.2888)
Tl (0.0000, 0.5000, 0.0000)
Tl (0.5000, 0.0000, 0.0000)
Hg (0.2500, 0.5000, 0.7500)
Hg (0.5000, 0.2500, 0.7500)
Hg (0.7112, 0.0000, 0.7112)
Hg (0.2888, 0.2888, 0.0000)
Hg (0.7112, 0.7112, 0.0000)
Hg (0.0000, 0.2888, 0.2888)
Au (0.0000, 0.0000, 0.0000)
Hg (0.7500, 0.2500, 0.5000)
Hg (0.7500, 0.5000, 0.2500)
Hg (0.5000, 0.7500, 0.2500)

Values from the calculation:
Symmetry ... Im-3m (229)
Mass density ... 11.883 g/cm³
Uncorrected energy ... -0.07099 Ry/atom

=====

# 14
The following is a PBE calculation of a geometry-optimized Eu2TlAu structure, from Alexandria.

Cell lengths 3.8169, 3.8169, 7.9146 Å; angles 90.00, 90.00, 90.00 degrees
Sites, in units of the cell vectors:
Eu (0.0000, 0.0000, 0.2290)
Au (0.5000, 0.5000, 0.0000)
Tl (0.5000, 0.5000, 0.5000)
Eu (0.0000, 0.0000, 0.7710)

Values from the calculation:
Energy above the lowest structure with this stoichiometry ... 0 meV/atom
Symmetry ... P4/mmm (123)
Mass density ... 10.157 g/cm³
Uncorrected energy ... -0.52470 Ry/atom

=====

# 15
The following is a PBE calculation of a geometry-optimized HoGe7Ir3 structure, from Alexandria.

Cell lengths 7.9162, 7.9162, 8.3457 Å; angles 61.69, 61.69, 60.00 degrees
Sites, in units of the cell vectors:
Ho (0.0000, 0.0000, 0.0000)
Ir (0.5696, 0.9304, 0.2500)
Ir (0.2500, 0.5696, 0.2500)
Ho (0.5000, 0.5000, 0.5000)
Ge (0.1678, 0.3507, 0.9087)
Ge (0.6493, 0.4272, 0.0913)
Ge (0.2500, 0.2500, 0.2500)
Ir (0.9304, 0.2500, 0.2500)
Ge (0.8507, 0.6678, 0.4087)
Ge (0.7500, 0.7500, 0.7500)
Ge (0.9272, 0.1493, 0.5913)
Ge (0.5728, 0.1678, 0.9087)
Ge (0.3507, 0.5728, 0.9087)
Ir (0.4304, 0.0696, 0.7500)
Ge (0.3322, 0.9272, 0.5913)
Ge (0.1493, 0.3322, 0.5913)
Ge (0.4272, 0.8322, 0.0913)
Ge (0.8322, 0.6493, 0.0913)
Ge (0.6678, 0.0728, 0.4087)
Ge (0.0728, 0.8507, 0.4087)
Ir (0.7500, 0.4304, 0.7500)
Ir (0.0696, 0.7500, 0.7500)

Values from the calculation:
Symmetry ... R-3c (167)
Mass density ... 10.955 g/cm³
Uncorrected energy ... -0.45853 Ry/atom

=====

# 16
The following is a PBE calculation of a geometry-optimized KHfPt2 structure, from Alexandria.

Cell lengths 7.6887, 7.6887, 6.3948 Å; angles 53.05, 53.05, 90.00 degrees
Sites, in units of the cell vectors:
Hf (0.7500, 0.2500, 0.5000)
K (0.2500, 0.7500, 0.5000)
Pt (0.3750, 0.3173, 0.7500)
K (0.5000, 0.5000, 0.0000)
Hf (0.0000, 0.0000, 0.0000)
Pt (0.8750, 0.9327, 0.7500)
Pt (0.0673, 0.6250, 0.2500)
Pt (0.6827, 0.1250, 0.2500)

Values from the calculation:
Energy above the lowest structure with this stoichiometry ... 74 meV/atom
Symmetry ... I-42d (122)
Mass density ... 10.141 g/cm³
Uncorrected energy ... -0.43118 Ry/atom

=====

# 17
The following is a PBE calculation of a geometry-optimized BaCo2Pb structure, from Alexandria.

Cell lengths 4.0207, 4.2918, 6.0946 Å; angles 69.43, 90.00, 90.00 degrees
Sites, in units of the cell vectors:
Co (0.5000, 0.0613, 0.2511)
Co (0.0000, 0.1499, 0.0758)
Ba (0.5000, 0.7844, 0.8064)
Pb (0.0000, 0.5044, 0.3667)

Values from the calculation:
Energy above the lowest structure with this stoichiometry ... 186 meV/atom
Symmetry ... Amm2 (38)
Mass density ... 7.798 g/cm³
Uncorrected energy ... -0.34393 Ry/atom

=====

# 18
The following is a PBE calculation of a geometry-optimized CaSm3P structure, from Alexandria.

Cell lengths 5.5656, 5.5656, 5.5656 Å; angles 90.00, 90.00, 90.00 degrees
Sites, in units of the cell vectors:
Sm (0.5000, 0.0000, 0.0000)
Sm (0.0000, 0.5000, 0.0000)
P (0.0000, 0.0000, 0.0000)
Sm (0.0000, 0.0000, 0.5000)
Ca (0.5000, 0.5000, 0.5000)

Values from the calculation:
Symmetry ... Pm-3m (221)
Mass density ... 5.029 g/cm³
Uncorrected energy ... -0.35056 Ry/atom

=====

# 19
The following is a PBE calculation of a geometry-optimized LiPmBeSn structure, from Alexandria.

Cell lengths 4.7402, 4.7402, 4.7402 Å; angles 60.00, 60.00, 60.00 degrees
Sites, in units of the cell vectors:
Li (0.0000, 0.0000, 0.0000)
Be (0.5000, 0.5000, 0.5000)
Pm (0.7500, 0.7500, 0.7500)
Sn (0.2500, 0.2500, 0.2500)

Values from the calculation:
Symmetry ... F-43m (216)
Mass density ... 6.166 g/cm³
Uncorrected energy ... -0.27544 Ry/atom

=====

# 20
The following is a PBE calculation of a geometry-optimized Sc5TlSi2 structure, from Alexandria.

Cell lengths 7.2013, 7.2013, 8.2572 Å; angles 115.85, 115.85, 90.00 degrees
Sites, in units of the cell vectors:
Si (0.6316, 0.1316, 0.0000)
Sc (0.5000, 0.5000, 0.0000)
Sc (0.3040, 0.8040, 0.2783)
Tl (0.7500, 0.7500, 0.5000)
Sc (0.1960, 0.0256, 0.7217)
Tl (0.2500, 0.2500, 0.5000)
Sc (0.0256, 0.5256, 0.7217)
Sc (0.0000, 0.0000, 0.0000)
Si (0.8684, 0.6316, 0.0000)
Sc (0.9744, 0.4744, 0.2783)
Sc (0.4744, 0.3040, 0.2783)
Sc (0.5256, 0.6960, 0.7217)
Sc (0.6960, 0.1960, 0.7217)
Sc (0.8040, 0.9744, 0.2783)
Si (0.1316, 0.3684, 0.0000)
Si (0.3684, 0.8684, 0.0000)

Values from the calculation:
Symmetry ... I4/mcm (140)
Mass density ... 4.782 g/cm³
Uncorrected energy ... -0.45640 Ry/atom
Formation energy (no corrections) ... -0.6009 eV/atom